# 1
5
Lattice="-1.794 1.794 13.056 1.794 -1.794 13.056 1.794 1.794 -13.056" Properties=species:S:1:pos:R:3 comment="PBE Rb2InW2, optimized geometry" formation_energy_ev_per_atom=1.0057 e_above_lowest_polymorph_mev_per_atom=0 pbc="T T T"
Rb 0.000 0.000 3.132
Rb 0.000 0.000 22.981
In 0.000 0.000 13.056
W 1.794 0.000 6.528
W 0.000 1.794 6.528

---

# 2
5
Lattice="5.668 0.000 0.000 0.000 5.668 0.000 0.000 0.000 4.337" Properties=species:S:1:pos:R:3 comment="PBE In2CuNiSe, optimized geometry" raw_formation_energy_ev_per_atom=0.76 pbc="T T T"
In 0.000 2.834 0.000
In 2.834 0.000 0.000
Cu 0.000 0.000 2.169
Ni 2.834 2.834 2.169
Se 0.000 0.000 0.000

---

Number 1: total magnetic moment 0.00 μB per atom. Number 2: total magnetic moment 0.13 μB per atom.